Record 1
# MgBCl | Alexandria | PBE | optimized geometry
data_MgBCl
_chemical_formula_sum 'Mg4 B4 Cl4'
_symmetry_space_group_name_H-M 'A m a 2'
_symmetry_Int_Tables_number 40
_cell_length_a 3.200
_cell_length_b 13.263
_cell_length_c 6.179
_cell_angle_alpha 90.00
_cell_angle_beta 90.00
_cell_angle_gamma 90.00
loop_
_symmetry_equiv_pos_as_xyz
'x,y,z'
'-x,-y,z'
'-x+1/2,y,z'
'x+1/2,-y,z'
'x,y+1/2,z+1/2'
'-x,-y+1/2,z+1/2'
'-x+1/2,y+1/2,z+1/2'
'x+1/2,-y+1/2,z+1/2'
loop_
_atom_site_label
_atom_site_type_symbol
_atom_site_fract_x
_atom_site_fract_y
_atom_site_fract_z
_atom_site_occupancy
Mg1 Mg 0.250 0.145 0.000 1
B1 B 0.250 0.487 0.362 1
Cl1 Cl 0.250 0.300 0.783 1
# - energy above the most stable polymorph in this dataset (meV/atom) = 171
# - theoretical density (Mg/m³) = 1.8
# - ΔE_f (raw) (eV/f.u.) = -1.923

***

Record 2
# Pm3CdAu4 | Alexandria | PBE | optimized geometry
data_Pm3CdAu4
_chemical_formula_sum 'Pm6 Cd2 Au8'
_symmetry_space_group_name_H-M 'I m m m'
_symmetry_Int_Tables_number 71
_symmetry_space_group_name_Hall '-I 2 2'
_cell_length_a 3.984
_cell_length_b 7.138
_cell_length_c 14.850
_cell_angle_alpha 90.00
_cell_angle_beta 90.00
_cell_angle_gamma 90.00
loop_
_atom_site_label
_atom_site_type_symbol
_atom_site_fract_x
_atom_site_fract_y
_atom_site_fract_z
_atom_site_occupancy
Pm1 Pm 0.000 0.000 0.000 1
Pm2 Pm 0.000 0.500 0.191 1
Cd1 Cd 0.000 0.000 0.500 1
Au1 Au 0.000 0.300 0.370 1
# - energy above the most stable polymorph in this dataset (meV/atom) = 60
# - theoretical density (Mg/m³) = 10.5

***

Record 3
# TbMg2Zn10 | Alexandria | PBE | optimized geometry
data_TbMg2Zn10
_chemical_formula_sum 'Tb4 Mg8 Zn40'
_symmetry_space_group_name_H-M 'F m m m'
_symmetry_Int_Tables_number 69
_symmetry_space_group_name_Hall '-F 2 2'
_cell_length_a 5.526
_cell_length_b 12.487
_cell_length_c 12.782
_cell_angle_alpha 90.00
_cell_angle_beta 90.00
_cell_angle_gamma 90.00
loop_
_atom_site_label
_atom_site_type_symbol
_atom_site_fract_x
_atom_site_fract_y
_atom_site_fract_z
_atom_site_occupancy
Tb1 Tb 0.000 0.000 0.000 1
Mg1 Mg 0.250 0.000 0.250 1
Zn1 Zn 0.000 0.110 0.396 1
Zn2 Zn 0.000 0.181 0.173 1
Zn3 Zn 0.250 0.250 0.000 1
# - energy (eV/atom) = -1.72
# - theoretical density (Mg/m³) = 6.5

***

Record 4
# TiNb2C | Alexandria | PBE | optimized geometry
data_TiNb2C
_chemical_formula_sum 'Ti3 Nb6 C3'
_symmetry_space_group_name_H-M 'R -3 m'
_symmetry_Int_Tables_number 166
_symmetry_space_group_name_Hall '-R 3 2"'
_cell_length_a 3.0985
_cell_length_b 3.0985
_cell_length_c 22.0923
_cell_angle_alpha 90.00
_cell_angle_beta 90.00
_cell_angle_gamma 120.00
loop_
_atom_site_label
_atom_site_type_symbol
_atom_site_fract_x
_atom_site_fract_y
_atom_site_fract_z
_atom_site_occupancy
Ti1 Ti 0.0000 0.0000 0.0000 1
Nb1 Nb 0.0000 0.0000 0.2246 1
C1 C 0.0000 0.0000 0.5000 1
# - energy (eV/atom) = -9.58
# - theoretical density (Mg/m³) = 6.7

***

Q: The lowest theoretical density belongs to which entry?
A: MgBCl